(1)
First-principles (PBE) data for an optimized crystal structure of NaNiAs2, as listed in the Alexandria database.

Lattice parameters (Å, degrees): 7.3958 7.3958 5.9317 51.43 51.43 90.00
Positions (direct):
1 Na 0.2500 0.7500 0.5000
2 Na 0.5000 0.5000 0.0000
3 Ni 0.0000 0.0000 0.0000
4 Ni 0.7500 0.2500 0.5000
5 As 0.0442 0.6250 0.2500
6 As 0.3750 0.2942 0.7500
7 As 0.8750 0.9558 0.7500
8 As 0.7058 0.1250 0.2500

Electronic total energy = -4.1988 eV per atom
Volume = 19.1 Å³/atom
Energy relative to the lowest polymorph listed for this composition = 0.81 eV/f.u.
SG = I-42d

---

(2)
First-principles (PBE) data for an optimized crystal structure of Y2SbOs, as listed in the Alexandria database.

Lattice parameters (Å, degrees): 3.4159 3.4253 8.8153 67.16 90.00 90.00
Positions (direct):
1 Y 0.0000 0.9554 0.0434
2 Y 0.0000 0.5446 0.4566
3 Os 0.5000 0.2500 0.2500
4 Sb 0.5000 0.7500 0.7500

Electronic total energy = -7.5576 eV per atom
Volume = 23.8 Å³/atom
SG = P4/mmm
Formation energy without anion corrections = -488 meV per atom

---

(3)
First-principles (PBE) data for an optimized crystal structure of HoCuGe, as listed in the Alexandria database.

Lattice parameters (Å, degrees): 4.2054 4.2054 3.7229 90.00 90.00 120.00
Positions (direct):
1 Ho 0.0000 0.0000 0.0000
2 Ge 0.6667 0.3333 0.5000
3 Cu 0.3333 0.6667 0.5000

Electronic total energy = -5.0774 eV per atom
Volume = 19.0 Å³/atom
SG = P-6m2

---

(4)
First-principles (PBE) data for an optimized crystal structure of AcGd2O, as listed in the Alexandria database.

Lattice parameters (Å, degrees): 3.6676 3.6676 9.4357 78.79 78.79 60.00
Last column: magnetic moment on the atom in μB.
Positions (direct):
1 Gd 0.2846 0.2846 0.1461  6.98
2 Gd 0.7154 0.7154 0.8539  6.98
3 O 0.0000 0.0000 0.0000  -0.03
4 Ac 0.5000 0.5000 0.5000  -0.01

Electronic total energy = -10.5850 eV per atom
Volume = 26.8 Å³/atom
Energy relative to the lowest polymorph listed for this composition = 0.00 eV/f.u.
SG = R-3m
Formation energy without anion corrections = -1278 meV per atom

---

(5)
First-principles (PBE) data for an optimized crystal structure of NiWAu, as listed in the Alexandria database.

Lattice parameters (Å, degrees): 4.1148 4.1148 4.1148 60.00 60.00 60.00
Positions (direct):
1 Ni 0.7500 0.7500 0.7500
2 Au 0.5000 0.5000 0.5000
3 W 0.0000 0.0000 0.0000

Electronic total energy = -6.7658 eV per atom
Volume = 16.4 Å³/atom
Energy relative to the lowest polymorph listed for this composition = 1.57 eV/f.u.
SG = F-43m

---

(6)
First-principles (PBE) data for an optimized crystal structure of BaCd3In, as listed in the Alexandria database.

Lattice parameters (Å, degrees): 4.8903 4.8903 7.0881 110.18 110.18 90.00
Positions (direct):
1 Cd 0.4009 0.4009 0.8017
2 Cd 0.7681 0.2681 0.5361
3 Cd 0.2681 0.7681 0.5361
4 Ba 0.0176 0.0176 0.0352
5 In 0.6356 0.6356 0.2713

Electronic total energy = -1.7805 eV per atom
Volume = 29.6 Å³/atom
Energy relative to the lowest polymorph listed for this composition = 0.04 eV/f.u.
SG = I4mm

---

(7)
First-principles (PBE) data for an optimized crystal structure of BaBe3Cd, as listed in the Alexandria database.

Lattice parameters (Å, degrees): 4.7058 4.7058 4.7058 90.00 90.00 90.00
Positions (direct):
1 Be 0.0000 0.5000 0.0000
2 Be 0.0000 0.0000 0.5000
3 Be 0.5000 0.0000 0.0000
4 Ba 0.5000 0.5000 0.5000
5 Cd 0.0000 0.0000 0.0000

Electronic total energy = -2.1307 eV per atom
Volume = 20.8 Å³/atom
Energy relative to the lowest polymorph listed for this composition = 0.00 eV/f.u.
SG = Pm-3m

---

(8)
First-principles (PBE) data for an optimized crystal structure of NdSn4Pt4, as listed in the Alexandria database.

Lattice parameters (Å, degrees): 6.8165 6.8165 8.6883 90.00 90.00 90.00
Positions (direct):
1 Sn 0.7418 0.0000 0.6316
2 Sn 0.7582 0.5000 0.8684
3 Sn 0.2418 0.5000 0.8684
4 Sn 0.0000 0.2582 0.3684
5 Sn 0.2582 0.0000 0.6316
6 Sn 0.5000 0.7582 0.1316
7 Sn 0.0000 0.7418 0.3684
8 Sn 0.5000 0.2418 0.1316
9 Pt 0.2935 0.0000 0.3238
10 Pt 0.0000 0.2935 0.6762
11 Pt 0.0000 0.7065 0.6762
12 Pt 0.7065 0.0000 0.3238
13 Pt 0.7935 0.5000 0.1762
14 Pt 0.5000 0.2065 0.8238
15 Pt 0.5000 0.7935 0.8238
16 Pt 0.2065 0.5000 0.1762
17 Nd 0.0000 0.0000 0.0000
18 Nd 0.5000 0.5000 0.5000

Electronic total energy = -5.5795 eV per atom
Volume = 22.4 Å³/atom
SG = P4_2/nmc

---

(9)
First-principles (PBE) data for an optimized crystal structure of SrCrAsW2, as listed in the Alexandria database.

Lattice parameters (Å, degrees): 4.6994 4.7299 4.6994 90.00 90.00 90.00
Positions (direct):
1 Sr 0.5000 0.5000 0.5000
2 W 0.0000 0.0000 0.5000
3 W 0.5000 0.0000 0.0000
4 As 0.0000 0.5000 0.0000
5 Cr 0.0000 0.0000 0.0000

Electronic total energy = -7.2640 eV per atom
Volume = 20.9 Å³/atom
Energy relative to the lowest polymorph listed for this composition = 0.00 eV/f.u.
SG = P4/mmm

---

(10)
First-principles (PBE) data for an optimized crystal structure of CsSiTe3, as listed in the Alexandria database.

Lattice parameters (Å, degrees): 6.6377 6.6377 6.6377 90.00 90.00 90.00
Last column: magnetic moment on the atom in μB.
Positions (direct):
1 Si 0.5000 0.5000 0.5000  -0.38
2 Te 0.0000 0.0000 0.5000  0.69
3 Te 0.0000 0.5000 0.0000  0.57
4 Te 0.5000 0.0000 0.0000  0.52
5 Cs 0.0000 0.0000 0.0000  0.07

Electronic total energy = -1.6705 eV per atom
Volume = 58.5 Å³/atom
SG = Pm-3m
Formation energy without anion corrections = 1470 meV per atom

---

(11)
First-principles (PBE) data for an optimized crystal structure of CoN4, as listed in the Alexandria database.

Lattice parameters (Å, degrees): 3.6975 3.6975 3.6975 90.00 90.00 90.00
Last column: magnetic moment on the atom in μB.
Positions (direct):
1 N 0.0000 0.5000 0.5000  1.00
2 N 0.5000 0.0000 0.5000  1.00
3 N 0.0000 0.0000 0.0000  -1.42
4 N 0.5000 0.5000 0.0000  1.00
5 Co 0.5000 0.5000 0.5000  0.82

Electronic total energy = -5.4874 eV per atom
Volume = 10.1 Å³/atom
SG = Pm-3m
Formation energy without anion corrections = 2594 meV per atom

---

(12)
First-principles (PBE) data for an optimized crystal structure of Th2Cd, as listed in the Alexandria database.

Lattice parameters (Å, degrees): 3.4766 3.4766 14.6388 90.00 90.00 90.00
Positions (direct):
1 Th 0.5000 0.5000 0.0000
2 Th 0.5000 0.5000 0.6802
3 Th 0.0000 0.0000 0.5000
4 Th 0.5000 0.5000 0.3198
5 Cd 0.0000 0.0000 0.8410
6 Cd 0.0000 0.0000 0.1590

Electronic total energy = -5.2810 eV per atom
Volume = 29.5 Å³/atom
SG = P4/mmm

---

(13)
First-principles (PBE) data for an optimized crystal structure of Cr2GaRu5W2, as listed in the Alexandria database.

Lattice parameters (Å, degrees): 3.8353 8.6966 8.6966 90.00 90.00 90.00
Positions (direct):
1 Cr 0.0000 0.1377 0.6377
2 Cr 0.0000 0.6377 0.8623
3 Cr 0.0000 0.3623 0.1377
4 Cr 0.0000 0.8623 0.3623
5 Ga 0.0000 0.5000 0.5000
6 Ga 0.0000 0.0000 0.0000
7 W 0.0000 0.6570 0.1570
8 W 0.0000 0.8430 0.6570
9 W 0.0000 0.3430 0.8430
10 W 0.0000 0.1570 0.3430
11 Ru 0.5000 0.9231 0.1982
12 Ru 0.5000 0.5000 0.0000
13 Ru 0.5000 0.0769 0.8018
14 Ru 0.5000 0.8018 0.9231
15 Ru 0.5000 0.4231 0.3018
16 Ru 0.5000 0.1982 0.0769
17 Ru 0.5000 0.0000 0.5000
18 Ru 0.5000 0.3018 0.5769
19 Ru 0.5000 0.5769 0.6982
20 Ru 0.5000 0.6982 0.4231

Electronic total energy = -9.2729 eV per atom
Volume = 14.5 Å³/atom
SG = P4/mbm

---

(14)
First-principles (PBE) data for an optimized crystal structure of Be2HSe, as listed in the Alexandria database.

Lattice parameters (Å, degrees): 3.7574 5.5884 6.2403 103.84 96.38 90.09
Positions (direct):
1 Be 0.5134 0.8786 0.2860
2 Be 0.1179 0.5422 0.2202
3 Be 0.0093 0.9699 0.1860
4 Be 0.5856 0.2045 0.1510
5 Se 0.0657 0.2097 0.9431
6 Se 0.6672 0.5643 0.4345
7 H 0.2409 0.0332 0.3959
8 H 0.2035 0.7406 0.0974

Electronic total energy = -3.8144 eV per atom
Volume = 15.8 Å³/atom
Energy relative to the lowest polymorph listed for this composition = 0.00 eV/f.u.
SG = P1

---

(15)
First-principles (PBE) data for an optimized crystal structure of TbNdHo6Tm2, as listed in the Alexandria database.

Lattice parameters (Å, degrees): 9.4186 8.7397 8.7397 117.17 93.19 93.19
Positions (direct):
1 Nd 0.2500 0.9702 0.0298
2 Nd 0.7500 0.0298 0.9702
3 Ho 0.5571 0.7547 0.1205
4 Ho 0.8838 0.2919 0.5135
5 Ho 0.6162 0.4865 0.7081
6 Ho 0.0571 0.1205 0.7547
7 Ho 0.9429 0.8795 0.2453
8 Ho 0.4429 0.2453 0.8795
9 Ho 0.8186 0.4378 0.9838
10 Ho 0.3186 0.9838 0.4378
11 Ho 0.6814 0.0162 0.5622
12 Ho 0.1814 0.5622 0.0162
13 Ho 0.3838 0.5135 0.2919
14 Ho 0.1162 0.7081 0.4865
15 Tb 0.7500 0.5900 0.4100
16 Tb 0.2500 0.4100 0.5900
17 Tm 0.4513 0.8005 0.6958
18 Tm 0.5487 0.1995 0.3042
19 Tm 0.9513 0.6958 0.8005
20 Tm 0.0487 0.3042 0.1995

Electronic total energy = -4.4580 eV per atom
Volume = 31.8 Å³/atom
SG = C2/c

---

(16)
First-principles (PBE) data for an optimized crystal structure of RbLiNb2, as listed in the Alexandria database.

Lattice parameters (Å, degrees): 4.9255 4.9255 4.9255 60.00 60.00 60.00
Positions (direct):
1 Nb 0.7500 0.7500 0.7500
2 Nb 0.2500 0.2500 0.2500
3 Li 0.0000 0.0000 0.0000
4 Rb 0.5000 0.5000 0.5000

Electronic total energy = -3.8644 eV per atom
Volume = 21.1 Å³/atom
Energy relative to the lowest polymorph listed for this composition = 1.49 eV/f.u.
SG = Fm-3m

---

(17)
First-principles (PBE) data for an optimized crystal structure of Na2ZrV, as listed in the Alexandria database.

Lattice parameters (Å, degrees): 8.4640 8.4640 6.5289 49.59 49.59 90.00
Last column: magnetic moment on the atom in μB.
Positions (direct):
1 Zr 0.7500 0.2500 0.5000  -0.27
2 Zr 0.0000 0.0000 0.0000  -0.27
3 Na 0.1495 0.6250 0.2500  0.00
4 Na 0.6005 0.1250 0.2500  0.00
5 Na 0.8750 0.8505 0.7500  0.00
6 Na 0.3750 0.3995 0.7500  0.00
7 V 0.2500 0.7500 0.5000  1.78
8 V 0.5000 0.5000 0.0000  1.78

Electronic total energy = -3.9479 eV per atom
Volume = 23.4 Å³/atom
Energy relative to the lowest polymorph listed for this composition = 0.00 eV/f.u.
SG = I-42d

---

(18)
First-principles (PBE) data for an optimized crystal structure of ZrFe2BS, as listed in the Alexandria database.

Lattice parameters (Å, degrees): 3.7938 4.7904 3.7938 90.00 90.00 90.00
Last column: magnetic moment on the atom in μB.
Positions (direct):
1 Fe 0.5000 0.0000 0.0000  1.54
2 Fe 0.0000 0.0000 0.5000  1.59
3 Zr 0.0000 0.5000 0.0000  -0.18
4 S 0.5000 0.5000 0.5000  0.01
5 B 0.0000 0.0000 0.0000  -0.11

Electronic total energy = -7.3689 eV per atom
Volume = 13.8 Å³/atom
SG = P4/mmm
Formation energy without anion corrections = -113 meV per atom

---

(19)
First-principles (PBE) data for an optimized crystal structure of NaCaEr2Te4, as listed in the Alexandria database.

Lattice parameters (Å, degrees): 4.3707 7.5753 7.8062 108.75 90.00 90.00
Positions (direct):
1 Te 0.0000 0.2464 0.7404
2 Te 0.5000 0.2545 0.2622
3 Te 0.5000 0.7455 0.7378
4 Te 0.0000 0.7536 0.2596
5 Ca 0.5000 0.5000 0.0000
6 Er 0.5000 0.0000 0.5000
7 Er 0.0000 0.5000 0.5000
8 Na 0.0000 0.0000 0.0000

Electronic total energy = -4.4963 eV per atom
Volume = 30.6 Å³/atom
SG = P2/m
Formation energy without anion corrections = -1370 meV per atom

---

(20)
First-principles (PBE) data for an optimized crystal structure of Cu3OF5, as listed in the Alexandria database.

Lattice parameters (Å, degrees): 5.4826 5.7776 7.0657 76.17 73.29 74.78
Last column: magnetic moment on the atom in μB.
Positions (direct):
1 Cu 0.3415 0.3338 0.6754  -0.15
2 Cu 0.6575 0.6553 0.8202  -0.05
3 Cu 0.9908 0.0019 0.9982  0.69
4 Cu 0.6755 0.6748 0.3421  -0.10
5 Cu 0.9897 0.9867 0.4976  0.43
6 Cu 0.3359 0.3432 0.1523  0.39
7 O 0.4400 0.4343 0.8675  0.00
8 O 0.7713 0.7587 0.5395  0.05
9 F 0.3449 0.9468 0.8462  0.07
10 F 0.5826 0.5791 0.1307  0.01
11 F 0.0923 0.1078 0.2002  0.11
12 F 0.3151 0.7240 0.4823  0.02
13 F 0.8865 0.8828 0.8056  0.07
14 F 0.9870 0.3658 0.8266  0.02
15 F 0.0313 0.6307 0.1791  0.04
16 F 0.6908 0.2790 0.5177  0.02
17 F 0.6349 0.0574 0.1547  0.09
18 F 0.2323 0.2380 0.4641  0.02

Electronic total energy = -4.2349 eV per atom
Volume = 11.3 Å³/atom
Energy relative to the lowest polymorph listed for this composition = 0.16 eV/f.u.
SG = P1
Formation energy without anion corrections = -1279 meV per atom